No. 1
An optimized crystal structure of CaZrCl2, computed with GGA-PBEsol.

Unit cell a=3.708 b=3.708 c=7.067 alpha=105.21 beta=105.21 gamma=90.00
Positions (direct):
Ca 0.250 0.750 0.500
Cl 0.750 0.250 0.500
Cl 0.000 0.000 0.000
Zr 0.500 0.500 0.000

Summary:
* symmetry: No. 119
* E_form (uncorrected): -0.83 eV per atom
* energy relative to the lowest polymorph listed for this composition: 0.173 eV per atom

No. 2
An optimized crystal structure of AlAsH4O6, computed with GGA-PBEsol.

Unit cell a=8.740 b=9.759 c=10.078 alpha=90.00 beta=90.00 gamma=90.00
Positions (direct):
H 0.665 0.601 0.188
H 0.137 0.901 0.469
H 0.335 0.399 0.812
H 0.179 0.319 0.869
H 0.363 0.401 0.469
H 0.705 0.473 0.435
H 0.165 0.899 0.812
H 0.835 0.399 0.688
H 0.321 0.681 0.369
H 0.363 0.099 0.969
H 0.205 0.473 0.065
H 0.821 0.819 0.631
H 0.295 0.973 0.065
H 0.679 0.319 0.631
H 0.795 0.973 0.435
H 0.179 0.181 0.369
H 0.335 0.101 0.312
H 0.679 0.181 0.131
H 0.821 0.681 0.131
H 0.137 0.599 0.969
H 0.835 0.101 0.188
H 0.665 0.899 0.688
H 0.863 0.099 0.531
H 0.321 0.819 0.869
H 0.795 0.527 0.935
H 0.205 0.027 0.565
H 0.705 0.027 0.935
H 0.637 0.901 0.031
H 0.863 0.401 0.031
H 0.165 0.601 0.312
H 0.637 0.599 0.531
H 0.295 0.527 0.565
Al 0.149 0.316 0.626
Al 0.351 0.816 0.626
Al 0.149 0.184 0.126
Al 0.851 0.684 0.374
Al 0.649 0.316 0.874
Al 0.649 0.184 0.374
Al 0.351 0.684 0.126
Al 0.851 0.816 0.874
O 0.275 0.625 0.293
O 0.084 0.222 0.953
O 0.916 0.778 0.047
O 0.997 0.305 0.193
O 0.497 0.539 0.139
O 0.683 0.576 0.445
O 0.003 0.695 0.807
O 0.317 0.076 0.055
O 0.817 0.076 0.445
O 0.278 0.160 0.609
O 0.225 0.375 0.793
O 0.775 0.875 0.707
O 0.775 0.625 0.207
O 0.722 0.840 0.391
O 0.084 0.278 0.453
O 0.503 0.461 0.861
O 0.183 0.576 0.055
O 0.817 0.424 0.945
O 0.503 0.805 0.193
O 0.725 0.375 0.707
O 0.497 0.195 0.807
O 0.916 0.722 0.547
O 0.584 0.278 0.047
O 0.778 0.340 0.391
O 0.778 0.160 0.891
O 0.497 0.961 0.639
O 0.503 0.039 0.361
O 0.725 0.125 0.207
O 0.497 0.305 0.307
O 0.225 0.125 0.293
O 0.003 0.039 0.139
O 0.003 0.461 0.639
O 0.183 0.924 0.555
O 0.997 0.195 0.693
O 0.503 0.695 0.693
O 0.317 0.424 0.555
O 0.416 0.722 0.953
O 0.416 0.778 0.453
O 0.997 0.539 0.361
O 0.722 0.660 0.891
O 0.222 0.840 0.109
O 0.997 0.961 0.861
O 0.275 0.875 0.793
O 0.003 0.805 0.307
O 0.584 0.222 0.547
O 0.278 0.340 0.109
O 0.683 0.924 0.945
O 0.222 0.660 0.609
As 0.035 0.866 0.152
As 0.965 0.134 0.848
As 0.535 0.866 0.348
As 0.465 0.366 0.152
As 0.465 0.134 0.652
As 0.965 0.366 0.348
As 0.035 0.634 0.652
As 0.535 0.634 0.848

Summary:
* symmetry: No. 61

No. 3
An optimized crystal structure of Mg2CoMo, computed with GGA-PBEsol.

Unit cell a=2.839 b=2.839 c=9.331 alpha=81.25 beta=81.25 gamma=60.00
Each line ends with the local moment (μB).
Positions (direct):
Mg 0.988 0.988 0.035  0.00
Mg 0.756 0.756 0.732  0.00
Mo 0.511 0.511 0.467  -0.02
Co 0.245 0.245 0.265  0.60

Summary:
* symmetry: No. 160
* energy relative to the lowest polymorph listed for this composition: 0.000 eV per atom

No. 4
An optimized crystal structure of CaCdHg2, computed with GGA-PBEsol.

Unit cell a=3.587 b=3.587 c=7.252 alpha=90.00 beta=90.00 gamma=90.00
Positions (direct):
Cd 0.500 0.500 0.500
Ca 0.500 0.500 0.000
Hg 0.000 0.000 0.735
Hg 0.000 0.000 0.265

Summary:
* symmetry: No. 123

No. 5
An optimized crystal structure of Hf2Fe3Si, computed with GGA-PBEsol.

Unit cell a=4.891 b=4.891 c=7.831 alpha=90.00 beta=90.00 gamma=120.00
Each line ends with the local moment (μB).
Positions (direct):
Si 0.000 0.000 0.000  -0.01
Si 0.000 0.000 0.500  -0.01
Fe 0.830 0.659 0.750  1.50
Fe 0.170 0.830 0.250  1.50
Fe 0.830 0.170 0.750  1.50
Fe 0.341 0.170 0.750  1.50
Fe 0.659 0.830 0.250  1.50
Fe 0.170 0.341 0.250  1.50
Hf 0.333 0.667 0.564  -0.27
Hf 0.667 0.333 0.064  -0.27
Hf 0.333 0.667 0.936  -0.27
Hf 0.667 0.333 0.436  -0.27

Summary:
* symmetry: No. 194
* E_form (uncorrected): -0.62 eV per atom

No. 6
An optimized crystal structure of RuSeBr2, computed with GGA-PBEsol.

Unit cell a=4.568 b=4.836 c=4.568 alpha=61.82 beta=90.00 gamma=118.18
Each line ends with the local moment (μB).
Positions (direct):
Se 0.000 0.000 0.000  -0.16
Br 0.750 0.500 0.750  0.03
Br 0.250 0.500 0.250  0.03
Ru 0.500 0.000 0.500  1.43

Summary:
* symmetry: No. 139
* E_form (uncorrected): 0.96 eV per atom
* energy relative to the lowest polymorph listed for this composition: 0.604 eV per atom

Number 1: V 22.561 Å³ per atom, size of the total moment 0.0 Bohr magnetons per cell, final energy -4.635 eV per atom. Number 2: V 8.954 Å³ per atom, size of the total moment 0.0 Bohr magnetons per cell, final energy -6.037 eV per atom. Number 3: V 16.034 Å³ per atom, size of the total moment 0.6 Bohr magnetons per cell, final energy -5.431 eV per atom. Number 4: V 23.326 Å³ per atom, size of the total moment 0.0 Bohr magnetons per cell, final energy -1.496 eV per atom. Number 5: V 13.521 Å³ per atom, size of the total moment 7.7 Bohr magnetons per cell, final energy -9.564 eV per atom. Number 6: V 18.771 Å³ per atom, size of the total moment 1.3 Bohr magnetons per cell, final energy -3.482 eV per atom.